{"formula": "PrHoAgPt", "functional": "PBE", "state": "relaxed", "crystal_system": "cubic", "e_tot_ev_per_cell": -21.06, "vol_a3_per_fu": 95.0, "magmom_total_mub_per_cell": 0.00, "formation_enthalpy_0k_ev_per_fu": -2.81, "cell": [[5.121, 0.000, 0.000], [2.560, 4.435, 0.000], [2.560, 1.478, 4.181]], "species": ["Ag", "Pr", "Ho", "Pt"], "frac_coords": [[0.250, 0.250, 0.250], [0.500, 0.500, 0.500], [0.000, 0.000, 0.000], [0.750, 0.750, 0.750]]}